A plane-wave DFT calculation with PBE was carried out for an optimized crystal structure of CaLa2Tc.

Summary:
- DFT formation energy: 0.393 eV/atom
- Electronic total energy: -5.16 eV per atom
- Crystal system: tetragonal
- Energy above the most stable polymorph in this dataset: 0.3237 eV per atom
- N(E_F): 1.28 states/eV per atom

Structure (CIF):
```
data_CaLa2Tc
_space_group_name_H-M_alt 'P 4/m m m'
_space_group_IT_number 123
_space_group_name_Hall '-P 4 2'
_cell_length_a 5.052
_cell_length_b 5.052
_cell_length_c 4.317
_cell_angle_alpha 90.00
_cell_angle_beta 90.00
_cell_angle_gamma 90.00
loop_
_atom_site_label
_atom_site_fract_x
_atom_site_fract_y
_atom_site_fract_z
Ca1 0.000 0.000 0.000
La1 0.000 0.500 0.500
Tc1 0.500 0.500 0.000
```